This record from Alexandria describes a relaxed YPu2U3P6 crystal. The functional is PBE.

Unit cell a=6.843 b=6.843 c=6.953 alpha=99.44 beta=99.44 gamma=120.03
Sites, in units of the cell vectors:
Y (0.000, 0.000, 0.000)
Pu (0.333, 0.667, 0.000)
Pu (0.667, 0.333, 0.000)
U (0.166, 0.834, 0.500)
U (0.500, 0.500, 0.500)
U (0.834, 0.166, 0.500)
P (0.085, 0.421, 0.255)
P (0.251, 0.251, 0.745)
P (0.421, 0.085, 0.255)
P (0.579, 0.915, 0.745)
P (0.749, 0.749, 0.255)
P (0.915, 0.579, 0.745)

Properties
Energy of formation   -1.144 eV per atom
Space group   C2/m (12)
Final energy   -9.598 eV/atom
V   266.30 Å³ per cell

This record from Alexandria describes a relaxed Pu2ZrUP4 crystal. The functional is PBE.

Unit cell a=6.734 b=3.898 c=6.786 alpha=90.00 beta=109.25 gamma=90.00
Sites, in units of the cell vectors:
Pu (0.000, 0.000, 0.000)
Pu (0.000, 0.500, 0.500)
Zr (0.500, 0.000, 0.500)
U (0.500, 0.500, 0.000)
P (0.260, 0.000, 0.748)
P (0.261, 0.500, 0.256)
P (0.739, 0.500, 0.744)
P (0.740, 0.000, 0.252)

Properties
Energy of formation   -1.190 eV per atom
Space group   P2/m (10)
Final energy   -9.958 eV/atom
V   168.19 Å³ per cell

This record from Alexandria describes a relaxed PuZr2UP4 crystal. The functional is PBE.

Unit cell a=6.610 b=3.835 c=6.697 alpha=90.00 beta=109.29 gamma=90.00
Sites, in units of the cell vectors:
Pu (0.000, 0.000, 0.000)
Zr (0.500, 0.000, 0.500)
Zr (0.500, 0.500, 0.000)
U (0.000, 0.500, 0.500)
P (0.260, 0.000, 0.752)
P (0.260, 0.500, 0.255)
P (0.740, 0.000, 0.248)
P (0.740, 0.500, 0.745)

Properties
Energy of formation   -1.268 eV per atom
Space group   P2/m (10)
Final energy   -9.313 eV/atom
V   160.23 Å³ per cell

This record from Alexandria describes a relaxed PuZrU2P5 crystal. The functional is PBE.

Unit cell a=4.616 b=4.616 c=10.144 alpha=90.00 beta=90.00 gamma=90.00
Sites, in units of the cell vectors:
Pu (0.000, 0.000, 0.000)
Zr (0.000, 0.000, 0.500)
U (0.500, 0.500, 0.309)
U (0.500, 0.500, 0.691)
P (0.000, 0.000, 0.251)
P (0.000, 0.000, 0.749)
P (0.000, 0.500, 0.500)
P (0.500, 0.000, 0.500)
P (0.500, 0.500, 0.000)

Properties
Energy of formation   -0.330 eV per atom
Space group   P4/mmm (123)
Final energy   -8.386 eV/atom
V   216.17 Å³ per cell

The highest V belongs to which entry? YPu2U3P6